## Dy3As2Pt2Rh5 (PBE)

Data for a geometry-optimized Dy3As2Pt2Rh5 structure.

Computed properties:
SG = I4/mmm
E = -6.85 eV/atom
ΔH_f (0 K) = -0.8512 eV per atom

The structure in POSCAR format:
```
Dy3As2Pt2Rh5
1.0
-0.584 1.846 3.531
-3.883 0.537 -0.923
-0.723 -12.896 4.326
Rh As Pt Dy
5 2 2 3
Direct
0.921 0.421 0.842 Rh
0.579 0.079 0.158 Rh
0.421 0.921 0.842 Rh
0.500 0.500 0.000 Rh
0.079 0.579 0.158 Rh
0.629 0.629 0.258 As
0.371 0.371 0.742 As
0.278 0.278 0.556 Pt
0.722 0.722 0.444 Pt
0.000 0.000 0.000 Dy
0.170 0.170 0.340 Dy
0.830 0.830 0.660 Dy
```